(1)
Below is a relaxed structure of BaAgP2Cl, with properties calculated at the PBE level.

Results
The raw total energy is -2.8508 eV/atom. Its density of states at the Fermi level is 0.259 states/eV per atom. For the formation energy without anion corrections, the calculation gives 307 kJ/mol of formula units.

Cell lengths 6.350, 6.350, 5.823 Å; angles 90.00, 90.00, 90.00 degrees
Sites, in units of the cell vectors:
Ba  0.000  0.000  0.000
Ag  0.500  0.500  0.500
P  0.000  0.500  0.000
P  0.500  0.000  0.000
Cl  0.000  0.000  0.500

(2)
Below is a relaxed structure of HfTl2RhW, with properties calculated at the PBE level.

Results
The raw total energy is -5.1168 eV/atom. For the energy of formation from the pure elements, the calculation gives 1.881 eV/atom. Its density of states at the Fermi level is 1.439 states/eV per atom.

Cell lengths 5.406, 5.406, 4.643 Å; angles 90.00, 90.00, 90.00 degrees
Sites, in units of the cell vectors:
Hf  0.000  0.000  0.000
Tl  0.000  0.500  0.000
Tl  0.500  0.000  0.000
Rh  0.000  0.000  0.500
W  0.500  0.500  0.500

(3)
Below is a relaxed structure of Sc7Hg, with properties calculated at the PBE level.

Results
The raw total energy is -5.6262 eV/atom. For the energy of formation from the pure elements, the calculation gives -0.048 eV/atom. Its density of states at the Fermi level is 1.727 states/eV per atom.

Cell lengths 6.446, 6.446, 6.446 Å; angles 60.00, 60.00, 60.00 degrees
Sites, in units of the cell vectors:
Sc  0.000  0.000  0.000
Sc  0.000  0.000  0.500
Sc  0.000  0.500  0.000
Sc  0.000  0.500  0.500
Sc  0.500  0.000  0.000
Sc  0.500  0.000  0.500
Sc  0.500  0.500  0.000
Hg  0.500  0.500  0.500

(4)
Below is a relaxed structure of SrLaRe2, with properties calculated at the PBE level.

Results
The raw total energy is -7.3951 eV/atom. For the energy of formation from the pure elements, the calculation gives 0.481 eV/atom. Its density of states at the Fermi level is 0.972 states/eV per atom.

Cell lengths 6.313, 6.313, 6.313 Å; angles 144.89, 131.56, 61.22 degrees
Sites, in units of the cell vectors:
Sr  0.000  0.000  0.000
La  0.281  0.781  0.500
Re  0.589  0.589  0.000
Re  0.721  0.221  0.500

(5)
Below is a relaxed structure of KPmF4, with properties calculated at the PBE level.

Results
The raw total energy is -5.9267 eV/atom. Its density of states at the Fermi level is 0.000 states/eV per atom. For the formation energy without anion corrections, the calculation gives -2145 kJ/mol of formula units.

Cell lengths 3.996, 3.996, 6.265 Å; angles 90.00, 90.00, 90.00 degrees
Sites, in units of the cell vectors:
K  0.000  0.000  0.000
Pm  0.500  0.500  0.500
F  0.000  0.500  0.292
F  0.000  0.500  0.708
F  0.500  0.000  0.292
F  0.500  0.000  0.708

(6)
Below is a relaxed structure of Sm2Ni4SbP3, with properties calculated at the PBE level.

Results
The raw total energy is -6.1186 eV/atom. Its density of states at the Fermi level is 0.431 states/eV per atom. For the formation energy without anion corrections, the calculation gives -798 kJ/mol of formula units.

Cell lengths 4.070, 4.070, 9.685 Å; angles 90.00, 90.00, 90.00 degrees
Sites, in units of the cell vectors:
Sm  0.000  0.500  0.231
Sm  0.500  0.000  0.769
Ni  0.000  0.000  0.000
Ni  0.000  0.500  0.644
Ni  0.500  0.000  0.356
Ni  0.500  0.500  0.000
Sb  0.000  0.000  0.500
P  0.000  0.500  0.877
P  0.500  0.000  0.123
P  0.500  0.500  0.500

(7)
Below is a relaxed structure of BaTiTl3, with properties calculated at the PBE level.

Results
The raw total energy is -3.4530 eV/atom. For the energy of formation from the pure elements, the calculation gives -0.070 eV/atom. Its density of states at the Fermi level is 0.679 states/eV per atom.

Cell lengths 5.475, 5.475, 5.475 Å; angles 90.00, 90.00, 90.00 degrees
Sites, in units of the cell vectors:
Ba  0.000  0.000  0.000
Ti  0.500  0.500  0.500
Tl  0.000  0.500  0.500
Tl  0.500  0.000  0.500
Tl  0.500  0.500  0.000

(8)
Below is a relaxed structure of NdPaIr, with properties calculated at the PBE level.

Results
The raw total energy is -7.9272 eV/atom. For the energy of formation from the pure elements, the calculation gives -0.219 eV/atom. Its density of states at the Fermi level is 2.116 states/eV per atom.

Cell lengths 4.854, 4.854, 4.854 Å; angles 60.00, 60.00, 60.00 degrees
Sites, in units of the cell vectors:
Nd  0.000  0.000  0.000
Pa  0.500  0.500  0.500
Ir  0.750  0.750  0.750

(9)
Below is a relaxed structure of CaZrAs2, with properties calculated at the PBE level.

Results
The raw total energy is -5.7307 eV/atom. For the energy of formation from the pure elements, the calculation gives -0.769 eV/atom. Its density of states at the Fermi level is 0.449 states/eV per atom.

Cell lengths 5.191, 5.191, 3.367 Å; angles 100.90, 100.90, 92.15 degrees
Sites, in units of the cell vectors:
Ca  0.000  0.000  0.000
Zr  0.500  0.500  0.000
As  0.000  0.500  0.500
As  0.500  0.000  0.500

(10)
Below is a relaxed structure of Re2Ir, with properties calculated at the PBE level.

Results
The raw total energy is -10.2074 eV/atom. For the energy of formation from the pure elements, the calculation gives 1.045 eV/atom. Its density of states at the Fermi level is 1.379 states/eV per atom.

Cell lengths 4.492, 4.492, 2.675 Å; angles 90.00, 90.00, 90.00 degrees
Sites, in units of the cell vectors:
Re  0.000  0.500  0.000
Re  0.500  0.000  0.000
Ir  0.000  0.000  0.500

(11)
Below is a relaxed structure of Hg2PtAu, with properties calculated at the PBE level.

Results
The raw total energy is -2.3506 eV/atom. For the energy of formation from the pure elements, the calculation gives 0.130 eV/atom. Its density of states at the Fermi level is 0.385 states/eV per atom.

Cell lengths 2.996, 4.382, 5.897 Å; angles 90.00, 90.00, 90.00 degrees
Sites, in units of the cell vectors:
Hg  0.000  0.000  0.000
Hg  0.500  0.500  0.298
Pt  0.000  0.000  0.505
Au  0.500  0.500  0.777

(12)
Below is a relaxed structure of Pm2Mg2SnRh5, with properties calculated at the PBE level.

Results
The raw total energy is -5.8461 eV/atom. For the energy of formation from the pure elements, the calculation gives -0.501 eV/atom. Its density of states at the Fermi level is 0.551 states/eV per atom.

Cell lengths 10.113, 10.113, 3.592 Å; angles 90.00, 90.00, 90.00 degrees
Sites, in units of the cell vectors:
Pm  0.175  0.325  0.000
Pm  0.325  0.825  0.000
Pm  0.675  0.175  0.000
Pm  0.825  0.675  0.000
Mg  0.124  0.624  0.000
Mg  0.376  0.124  0.000
Mg  0.624  0.876  0.000
Mg  0.876  0.376  0.000
Sn  0.000  0.000  0.000
Sn  0.500  0.500  0.000
Rh  0.000  0.500  0.500
Rh  0.062  0.799  0.500
Rh  0.201  0.062  0.500
Rh  0.299  0.562  0.500
Rh  0.438  0.299  0.500
Rh  0.500  0.000  0.500
Rh  0.562  0.701  0.500
Rh  0.701  0.438  0.500
Rh  0.799  0.938  0.500
Rh  0.938  0.201  0.500